# K2PuCrO4 (PBE with a Hubbard U, optimized geometry)
data_K2PuCrO4
_symmetry_space_group_name_H-M 'P 1'
_symmetry_Int_Tables_number 1
_cell_length_a 3.555
_cell_length_b 5.649
_cell_length_c 6.438
_cell_angle_alpha 105.89
_cell_angle_beta 90.00
_cell_angle_gamma 90.00
loop_
_symmetry_equiv_pos_as_xyz
'x,y,z'
loop_
_atom_site_label
_atom_site_type_symbol
_atom_site_fract_x
_atom_site_fract_y
_atom_site_fract_z
_atom_site_occupancy
K1 K 0.500 0.000 0.500 1
K2 K 0.000 0.500 0.500 1
Pu1 Pu 0.500 0.500 0.000 1
Cr1 Cr 0.000 0.000 0.000 1
O1 O 0.500 0.246 0.191 1
O2 O 0.500 0.754 0.809 1
O3 O 0.000 0.260 0.819 1
O4 O 0.000 0.740 0.181 1
# Magnetic moment   8.000 μB/cell
# Crystal system   monoclinic
# Uncorrected energy   -60.30 eV per formula unit